# RhPbBr2

A relaxed structure of RhPbBr2 (PBE, the Alexandria database).

Properties
total energy = -3.404 eV/atom
M_tot = 0.2 μB/cell
space group = Pmmm (47)
ΔE_f (raw) = 0.198 eV per atom
energy above the lowest structure with this stoichiometry = 447.1 meV per atom

a = 3.6646 Å, b = 4.5440 Å, c = 5.8993 Å
α = 90.00°, β = 90.00°, γ = 90.00°
Closest atoms and distances in Å follow each position.
Positions (direct):
Rh  0.0000  0.0000  0.0000  4 Br 2.92
Pb  0.5000  0.0000  0.5000  4 Br 2.92
Br  0.0000  0.5000  0.5000  4 Pb 2.92
Br  0.5000  0.5000  0.0000  4 Rh 2.92

# Rh2PbBr

A relaxed structure of Rh2PbBr (PBE, the Alexandria database).

Properties
total energy = -4.636 eV/atom
M_tot = 0.0 μB/cell
space group = Pmmm (47)
ΔE_f (raw) = 0.385 eV per atom
energy above the lowest structure with this stoichiometry = 210.2 meV per atom

a = 3.1920 Å, b = 4.4058 Å, c = 5.5190 Å
α = 90.00°, β = 90.00°, γ = 90.00°
Closest atoms and distances in Å follow each position.
Positions (direct):
Rh  0.0000  0.0000  0.0000  4 Br 2.72
Rh  0.5000  0.0000  0.5000  4 Pb 2.72
Pb  0.0000  0.5000  0.5000  4 Rh 2.72
Br  0.5000  0.5000  0.0000  4 Rh 2.72

# RhPb2Br6

A relaxed structure of RhPb2Br6 (PBE, the Alexandria database).

Properties
total energy = -3.349 eV/atom
M_tot = 2.1 μB/cell
space group = P4_2/mnm (136)
ΔE_f (raw) = -0.593 eV per atom

a = 6.8078 Å, b = 6.8078 Å, c = 12.9970 Å
α = 90.00°, β = 90.00°, γ = 90.00°
Closest atoms and distances in Å follow each position.
Positions (direct):
Rh  0.0000  0.0000  0.0000  6 Br 2.59-2.61
Rh  0.5000  0.5000  0.5000  6 Br 2.59-2.61
Pb  0.0000  0.0000  0.3355  6 Br 3.03-3.08
Pb  0.0000  0.0000  0.6645  6 Br 3.03-3.08
Pb  0.5000  0.5000  0.1645  6 Br 3.03-3.08
Pb  0.5000  0.5000  0.8355  6 Br 3.03-3.08
Br  0.1842  0.1842  0.1468  1 Rh 2.61
Br  0.1842  0.1842  0.8532  1 Rh 2.61
Br  0.2307  0.2307  0.5000  1 Rh 2.59
Br  0.2693  0.7307  0.0000  1 Rh 2.59
Br  0.3158  0.6842  0.3532  1 Rh 2.61
Br  0.3158  0.6842  0.6468  1 Rh 2.61
Br  0.6842  0.3158  0.3532  1 Rh 2.61
Br  0.6842  0.3158  0.6468  1 Rh 2.61
Br  0.7307  0.2693  0.0000  1 Rh 2.59
Br  0.7693  0.7693  0.5000  1 Rh 2.59
Br  0.8158  0.8158  0.1468  1 Rh 2.61
Br  0.8158  0.8158  0.8532  1 Rh 2.61

# RhPbBr2

A relaxed structure of RhPbBr2 (PBE, the Alexandria database).

Properties
total energy = -3.479 eV/atom
M_tot = 2.0 μB/cell
space group = I-42d (122)
ΔE_f (raw) = 0.122 eV per atom
energy above the lowest structure with this stoichiometry = 371.5 meV per atom

a = 9.2803 Å, b = 9.2803 Å, c = 9.2803 Å
α = 147.65°, β = 147.65°, γ = 46.40°
Closest atoms and distances in Å follow each position.
Positions (direct):
Rh  0.0000  0.0000  0.0000  4 Br 2.68
Rh  0.7500  0.2500  0.5000  4 Br 2.68
Pb  0.2500  0.7500  0.5000  4 Br 2.97
Pb  0.5000  0.5000  0.0000  4 Br 2.97
Br  0.0638  0.6250  0.9388  2 Rh 2.68, 2 Pb 2.97
Br  0.3750  0.3138  0.4388  2 Rh 2.68, 2 Pb 2.97
Br  0.6862  0.1250  0.0612  2 Rh 2.68, 2 Pb 2.97
Br  0.8750  0.9362  0.5612  2 Rh 2.68, 2 Pb 2.97

# Rh2PbBr

A relaxed structure of Rh2PbBr (PBE, the Alexandria database).

Properties
total energy = -4.666 eV/atom
M_tot = 0.0 μB/cell
space group = I-42d (122)
ΔE_f (raw) = 0.355 eV per atom
energy above the lowest structure with this stoichiometry = 180.8 meV per atom

a = 8.5416 Å, b = 8.5416 Å, c = 8.5416 Å
α = 147.61°, β = 147.61°, γ = 46.45°
Closest atoms and distances in Å follow each position.
Positions (direct):
Rh  0.0520  0.6250  0.9270  2 Br 2.45
Rh  0.3750  0.3020  0.4270  2 Br 2.45
Rh  0.6980  0.1250  0.0730  2 Br 2.45
Rh  0.8750  0.9480  0.5730  2 Br 2.45
Pb  0.2500  0.7500  0.5000  4 Rh 2.76
Pb  0.5000  0.5000  0.0000  4 Rh 2.76
Br  0.0000  0.0000  0.0000  4 Rh 2.45
Br  0.7500  0.2500  0.5000  4 Rh 2.45

# RhPbBr2

A relaxed structure of RhPbBr2 (PBE, the Alexandria database).

Properties
total energy = -3.618 eV/atom
M_tot = 0.4 μB/cell
space group = P4mm (99)
ΔE_f (raw) = -0.017 eV per atom
energy above the lowest structure with this stoichiometry = 232.6 meV per atom

a = 3.5766 Å, b = 3.5766 Å, c = 8.0615 Å
α = 90.00°, β = 90.00°, γ = 90.00°
Closest atoms and distances in Å follow each position.
Positions (direct):
Rh  0.0000  0.0000  0.0000  4 Br 2.66
Pb  0.5000  0.5000  0.7274  5 Br 3.02-3.17, 4 Rh 3.35
Br  0.0000  0.0000  0.4901  4 Pb 3.17
Br  0.5000  0.5000  0.1023  4 Rh 2.66

# Rh4PbBr

A relaxed structure of Rh4PbBr (PBE, the Alexandria database).

Properties
total energy = -5.253 eV/atom
M_tot = 2.4 μB/cell
space group = F-43m (216)
ΔE_f (raw) = 0.545 eV per atom

a = 5.3652 Å, b = 5.3652 Å, c = 5.3652 Å
α = 60.00°, β = 60.00°, γ = 60.00°
Closest atoms and distances in Å follow each position.
Positions (direct):
Rh  0.1252  0.1252  0.1252  6 Rh 2.68-2.69
Rh  0.1252  0.1252  0.6245  6 Rh 2.68-2.69
Rh  0.1252  0.6245  0.1252  6 Rh 2.68-2.69
Rh  0.6245  0.1252  0.1252  6 Rh 2.68-2.69
Pb  0.5000  0.5000  0.5000  12 Rh 3.15, 4 Br 3.29
Br  0.7500  0.7500  0.7500  12 Rh 3.15, 4 Pb 3.29

# RhPbBr2

A relaxed structure of RhPbBr2 (PBE, the Alexandria database).

Properties
total energy = -3.851 eV/atom
M_tot = 0.0 μB/cell
space group = Amm2 (38)
ΔE_f (raw) = -0.249 eV per atom
energy above the lowest structure with this stoichiometry = 0.0 meV per atom

a = 4.2663 Å, b = 5.6253 Å, c = 5.6253 Å
α = 54.10°, β = 90.00°, γ = 90.00°
Closest atoms and distances in Å follow each position.
Positions (direct):
Rh  0.0000  0.0000  0.0000  4 Br 2.58-2.79, 2 Pb 2.66
Pb  0.5000  0.8408  0.8408  2 Rh 2.66
Br  0.0000  0.5313  0.5313  2 Rh 2.58
Br  0.5000  0.1799  0.1799  2 Rh 2.79, 2 Pb 3.02

# RhPbBr2

A relaxed structure of RhPbBr2 (PBE, the Alexandria database).

Properties
total energy = -3.709 eV/atom
M_tot = 0.0 μB/cell
space group = Imm2 (44)
ΔE_f (raw) = -0.108 eV per atom
energy above the lowest structure with this stoichiometry = 141.5 meV per atom

a = 8.2640 Å, b = 8.2640 Å, c = 8.2640 Å
α = 155.35°, β = 151.65°, γ = 37.91°
Closest atoms and distances in Å follow each position.
Positions (direct):
Rh  0.0000  0.0000  0.0000  4 Br 2.71, 2 Pb 2.88
Pb  0.8545  0.3545  0.5000  2 Rh 2.88, 4 Br 3.14
Br  0.2507  0.7507  0.5000  4 Pb 3.14
Br  0.5255  0.5255  0.0000  4 Rh 2.71

# RhPb4Br

A relaxed structure of RhPb4Br (PBE, the Alexandria database).

Properties
total energy = -3.461 eV/atom
M_tot = 0.0 μB/cell
space group = F-43m (216)
ΔE_f (raw) = 0.516 eV per atom

a = 6.3227 Å, b = 6.3227 Å, c = 6.3227 Å
α = 60.00°, β = 60.00°, γ = 60.00°
Closest atoms and distances in Å follow each position.
Positions (direct):
Rh  0.0000  0.0000  0.0000  12 Pb 3.70, 4 Br 3.87
Pb  0.3740  0.3740  0.3740  6 Pb 3.14-3.19
Pb  0.3740  0.3740  0.8780  6 Pb 3.14-3.19
Pb  0.3740  0.8780  0.3740  6 Pb 3.14-3.19
Pb  0.8780  0.3740  0.3740  6 Pb 3.14-3.19
Br  0.7500  0.7500  0.7500  12 Pb 3.71, 4 Rh 3.87

# Rh2PbBr

A relaxed structure of Rh2PbBr (PBE, the Alexandria database).

Properties
total energy = -4.732 eV/atom
M_tot = 0.0 μB/cell
space group = Imm2 (44)
ΔE_f (raw) = 0.289 eV per atom
energy above the lowest structure with this stoichiometry = 114.8 meV per atom

a = 6.5902 Å, b = 6.5902 Å, c = 6.5902 Å
α = 152.31°, β = 143.44°, γ = 46.47°
Closest atoms and distances in Å follow each position.
Positions (direct):
Rh  0.0000  0.0000  0.0000  4 Pb 2.85, 4 Rh 2.90-3.15, 2 Br 2.93
Rh  0.7986  0.2986  0.5000  4 Br 2.63, 2 Rh 2.90, 2 Pb 2.91
Pb  0.5968  0.5968  0.0000  6 Rh 2.85-2.91, 2 Pb 3.15
Br  0.3286  0.8286  0.5000  6 Rh 2.63-2.93

# Rh2PbBr

A relaxed structure of Rh2PbBr (PBE, the Alexandria database).

Properties
total energy = -4.660 eV/atom
M_tot = 0.0 μB/cell
space group = Immm (71)
ΔE_f (raw) = 0.361 eV per atom
energy above the lowest structure with this stoichiometry = 186.8 meV per atom

a = 5.4534 Å, b = 5.4534 Å, c = 5.4534 Å
α = 146.12°, β = 119.32°, γ = 71.35°
Closest atoms and distances in Å follow each position.
Positions (direct):
Rh  0.2477  0.2477  0.0000  2 Br 2.71, 2 Pb 2.74
Rh  0.7523  0.7523  0.0000  2 Br 2.71, 2 Pb 2.74
Pb  0.5000  0.0000  0.5000  4 Rh 2.74
Br  0.0000  0.5000  0.5000  4 Rh 2.71

# Rh2PbBr

A relaxed structure of Rh2PbBr (PBE, the Alexandria database).

Properties
total energy = -4.776 eV/atom
M_tot = 0.0 μB/cell
space group = P4mm (99)
ΔE_f (raw) = 0.245 eV per atom
energy above the lowest structure with this stoichiometry = 71.0 meV per atom

a = 3.3573 Å, b = 3.3573 Å, c = 7.4153 Å
α = 90.00°, β = 90.00°, γ = 90.00°
Closest atoms and distances in Å follow each position.
Positions (direct):
Rh  0.0000  0.0000  0.0000  4 Rh 2.67, 1 Br 2.94, 4 Pb 2.94
Rh  0.5000  0.5000  0.1645  4 Rh 2.67, 4 Br 2.93, 1 Pb 2.96
Pb  0.5000  0.5000  0.7656  5 Rh 2.94-2.96
Br  0.0000  0.0000  0.3960  5 Rh 2.93-2.94

# Rh2PbBr

A relaxed structure of Rh2PbBr (PBE, the Alexandria database).

Properties
total energy = -4.616 eV/atom
M_tot = 1.0 μB/cell
space group = Fm-3m (225)
ΔE_f (raw) = 0.405 eV per atom
energy above the lowest structure with this stoichiometry = 230.7 meV per atom

a = 4.7280 Å, b = 4.7280 Å, c = 4.7280 Å
α = 60.00°, β = 60.00°, γ = 60.00°
Closest atoms and distances in Å follow each position.
Positions (direct):
Rh  0.2500  0.2500  0.2500  4 Pb 2.90, 4 Br 2.90
Rh  0.7500  0.7500  0.7500  4 Pb 2.90, 4 Br 2.90
Pb  0.0000  0.0000  0.0000  8 Rh 2.90
Br  0.5000  0.5000  0.5000  8 Rh 2.90

# RhPbBr3

A relaxed structure of RhPbBr3 (PBE, the Alexandria database).

Properties
total energy = -3.430 eV/atom
M_tot = 0.0 μB/cell
space group = Pm-3m (221)
ΔE_f (raw) = -0.214 eV per atom
energy above the lowest structure with this stoichiometry = 0.0 meV per atom

a = 5.1104 Å, b = 5.1104 Å, c = 5.1104 Å
α = 90.00°, β = 90.00°, γ = 90.00°
Closest atoms and distances in Å follow each position.
Positions (direct):
Rh  0.0000  0.0000  0.0000  6 Br 2.56
Pb  0.5000  0.5000  0.5000  12 Br 3.61
Br  0.0000  0.0000  0.5000  2 Rh 2.56
Br  0.0000  0.5000  0.0000  2 Rh 2.56
Br  0.5000  0.0000  0.0000  2 Rh 2.56

# RhPbBr2

A relaxed structure of RhPbBr2 (PBE, the Alexandria database).

Properties
total energy = -3.275 eV/atom
M_tot = 1.0 μB/cell
space group = F-43m (216)
ΔE_f (raw) = 0.327 eV per atom
energy above the lowest structure with this stoichiometry = 576.3 meV per atom

a = 5.1229 Å, b = 5.1229 Å, c = 5.1229 Å
α = 60.00°, β = 60.00°, γ = 60.00°
Closest atoms and distances in Å follow each position.
Positions (direct):
Rh  0.0000  0.0000  0.0000  4 Br 3.14, 4 Pb 3.14
Pb  0.2500  0.2500  0.2500  4 Br 3.14, 4 Rh 3.14
Br  0.5000  0.5000  0.5000  4 Br 3.14, 4 Pb 3.14
Br  0.7500  0.7500  0.7500  4 Br 3.14, 4 Rh 3.14

# Rh2PbBr

A relaxed structure of Rh2PbBr (PBE, the Alexandria database).

Properties
total energy = -4.847 eV/atom
M_tot = 0.0 μB/cell
space group = P2/m (10)
ΔE_f (raw) = 0.174 eV per atom
energy above the lowest structure with this stoichiometry = 0.0 meV per atom

a = 3.6667 Å, b = 3.1966 Å, c = 7.1242 Å
α = 90.00°, β = 90.08°, γ = 90.00°
Closest atoms and distances in Å follow each position.
Positions (direct):
Rh  0.0006  0.0000  0.1996  2 Br 2.67, 4 Pb 2.82, 1 Rh 2.84
Rh  0.9994  0.0000  0.8004  2 Br 2.67, 4 Pb 2.82, 1 Rh 2.84
Pb  0.5000  0.5000  0.0000  8 Rh 2.82
Br  0.0000  0.5000  0.5000  4 Rh 2.67

# Rh2PbBr

A relaxed structure of Rh2PbBr (PBE, the Alexandria database).

Properties
total energy = -4.719 eV/atom
M_tot = 0.0 μB/cell
space group = R-3m (166)
ΔE_f (raw) = 0.302 eV per atom
energy above the lowest structure with this stoichiometry = 127.6 meV per atom

a = 8.1096 Å, b = 8.1096 Å, c = 8.1096 Å
α = 24.04°, β = 24.04°, γ = 24.04°
Closest atoms and distances in Å follow each position.
Positions (direct):
Rh  0.2493  0.2493  0.2493  3 Pb 2.76, 3 Br 2.78
Rh  0.7507  0.7507  0.7507  3 Pb 2.76, 3 Br 2.78
Pb  0.5000  0.5000  0.5000  6 Rh 2.76
Br  0.0000  0.0000  0.0000  6 Rh 2.78

# RhPbBr2

A relaxed structure of RhPbBr2 (PBE, the Alexandria database).

Properties
total energy = -3.774 eV/atom
M_tot = 0.0 μB/cell
space group = P2/m (10)
ΔE_f (raw) = -0.173 eV per atom
energy above the lowest structure with this stoichiometry = 76.7 meV per atom

a = 5.6764 Å, b = 3.5858 Å, c = 6.7411 Å
α = 90.00°, β = 114.72°, γ = 90.00°
Closest atoms and distances in Å follow each position.
Positions (direct):
Rh  0.0000  0.0000  0.0000  4 Br 2.50
Pb  0.5000  0.0000  0.0000  2 Rh 2.84
Br  0.1426  0.5000  0.2850  2 Rh 2.50
Br  0.8574  0.5000  0.7150  2 Rh 2.50

# Rh3PbBr

A relaxed structure of Rh3PbBr (PBE, the Alexandria database).

Properties
total energy = -4.081 eV/atom
M_tot = 2.2 μB/cell
space group = Pm-3m (221)
ΔE_f (raw) = 1.406 eV per atom
energy above the lowest structure with this stoichiometry = 636.3 meV per atom

a = 5.0874 Å, b = 5.0874 Å, c = 5.0874 Å
α = 90.00°, β = 90.00°, γ = 90.00°
Closest atoms and distances in Å follow each position.
Positions (direct):
Rh  0.0000  0.0000  0.5000  2 Pb 2.54
Rh  0.0000  0.5000  0.0000  2 Pb 2.54
Rh  0.5000  0.0000  0.0000  2 Pb 2.54
Pb  0.0000  0.0000  0.0000  6 Rh 2.54
Br  0.5000  0.5000  0.5000  12 Rh 3.60